A | LiMnCo3O8 | PBEsol | optimized geometry

Calculated values
N(E_F)   7.2 states/eV/cell
SG   R-3m

a b c (Å): 5.8114 5.8114 5.8114
angles (deg): 57.43 57.43 57.43
Closest atoms and distances in Å follow each position.
Fractional coordinates of all 13 atoms:
Li1 0.0000 0.0000 0.0000  6 O 2.15
Mn1 0.5000 0.5000 0.5000  6 O 1.90
Co1 0.0000 0.0000 0.5000  6 O 1.85-1.87
Co2 0.0000 0.5000 0.0000  6 O 1.85-1.87
Co3 0.5000 0.0000 0.0000  6 O 1.85-1.87
O1 0.2288 0.2288 0.2288  3 Co 1.85
O2 0.2295 0.7357 0.7357  2 Co 1.87, 1 Mn 1.90
O3 0.2643 0.2643 0.7705  2 Co 1.87, 1 Mn 1.90
O4 0.2643 0.7705 0.2643  2 Co 1.87, 1 Mn 1.90
O5 0.7357 0.2295 0.7357  2 Co 1.87, 1 Mn 1.90
O6 0.7357 0.7357 0.2295  2 Co 1.87, 1 Mn 1.90
O7 0.7705 0.2643 0.2643  2 Co 1.87, 1 Mn 1.90
O8 0.7712 0.7712 0.7712  3 Co 1.85

=====

B | LiMnCo3O8 | PBEsol | optimized geometry

Calculated values
N(E_F)   17.8 states/eV/cell
SG   C2/c

a b c (Å): 5.7961 5.7961 9.6427
angles (deg): 104.41 104.41 57.23
Closest atoms and distances in Å follow each position.
Fractional coordinates of all 26 atoms:
Li1 0.2480 0.7520 0.7500  6 O 2.13-2.20
Li2 0.7520 0.2480 0.2500  6 O 2.13-2.20
Mn1 0.0000 0.5000 0.5000  6 O 1.89
Mn2 0.5000 0.0000 0.0000  6 O 1.89
Co1 0.0000 0.5000 0.0000  6 O 1.87-1.88
Co2 0.2499 0.2501 0.2499  6 O 1.86-1.87
Co3 0.2501 0.2499 0.7499  6 O 1.86-1.87
Co4 0.5000 0.0000 0.5000  6 O 1.87-1.88
Co5 0.7499 0.7501 0.2501  6 O 1.86-1.87
Co6 0.7501 0.7499 0.7501  6 O 1.86-1.87
O1 0.0972 0.5970 0.8615  3 Co 1.86-1.87
O2 0.0978 0.5977 0.3606  2 Co 1.86, 1 Mn 1.89
O3 0.1494 0.1500 0.8850  2 Co 1.87-1.88, 1 Mn 1.89
O4 0.1500 0.1494 0.3850  2 Co 1.87-1.88, 1 Mn 1.89
O5 0.3500 0.3506 0.1150  2 Co 1.87-1.88, 1 Mn 1.89
O6 0.3506 0.3500 0.6150  2 Co 1.87-1.88, 1 Mn 1.89
O7 0.4023 0.9022 0.1394  2 Co 1.86, 1 Mn 1.89
O8 0.4030 0.9028 0.6385  3 Co 1.86-1.87
O9 0.5970 0.0972 0.3615  3 Co 1.86-1.87
O10 0.5977 0.0978 0.8606  2 Co 1.86, 1 Mn 1.89
O11 0.6494 0.6500 0.3850  2 Co 1.87-1.88, 1 Mn 1.89
O12 0.6500 0.6494 0.8850  2 Co 1.87-1.88, 1 Mn 1.89
O13 0.8500 0.8506 0.6150  2 Co 1.87-1.88, 1 Mn 1.89
O14 0.8506 0.8500 0.1150  2 Co 1.87-1.88, 1 Mn 1.89
O15 0.9022 0.4023 0.6394  2 Co 1.86, 1 Mn 1.89
O16 0.9028 0.4030 0.1385  3 Co 1.86-1.87

=====

B is the least stable structure shown above.